A plane-wave DFT calculation with PBE was carried out for an optimized crystal structure of PmH4Ru.

```
PmH4Ru
1.0
1.946 -5.990 0.000
1.946 5.990 0.000
0.000 0.000 4.918
Pm H Ru
2 8 2
direct
0.130 0.870 0.750
0.870 0.130 0.250
0.097 0.903 0.250
0.303 0.697 0.501
0.303 0.697 0.999
0.500 0.500 0.000
0.500 0.500 0.500
0.697 0.303 0.001
0.697 0.303 0.499
0.903 0.097 0.750
0.400 0.600 0.750
0.600 0.400 0.250
```

Output
offset from the most stable computed form: 0.000 eV per atom
Fermi-level density of states: 2.35 states/eV/cell


A plane-wave DFT calculation with PBE was carried out for an optimized crystal structure of PmH9Ru2.

```
PmH9Ru2
1.0
-4.064 4.064 2.647
4.064 -4.064 2.647
4.064 4.064 -2.647
Pm H Ru
2 18 4
direct
0.375 0.625 0.750
0.625 0.375 0.250
0.125 0.875 0.250
0.164 0.601 0.332
0.164 0.832 0.564
0.168 0.231 0.332
0.168 0.836 0.936
0.231 0.168 0.832
0.231 0.399 0.064
0.399 0.231 0.564
0.399 0.836 0.168
0.601 0.164 0.832
0.601 0.769 0.436
0.769 0.601 0.936
0.769 0.832 0.168
0.832 0.164 0.064
0.832 0.769 0.668
0.836 0.168 0.436
0.836 0.399 0.668
0.875 0.125 0.750
0.000 0.000 0.000
0.000 0.000 0.500
0.000 0.500 0.000
0.500 0.000 0.500
```

Output
Fermi-level density of states: 3.37 states/eV/cell
total DFT energy (no corrections): -4.383 eV/atom


A plane-wave DFT calculation with PBE was carried out for an optimized crystal structure of Pm6HRu2.

```
Pm6HRu2
1.0
6.436 0.000 0.000
0.000 7.357 0.000
-6.216 0.000 9.718
Pm H Ru
12 2 4
direct
0.104 0.178 0.435
0.104 0.322 0.935
0.262 0.673 0.431
0.262 0.827 0.931
0.391 0.041 0.249
0.391 0.459 0.749
0.609 0.541 0.251
0.609 0.959 0.751
0.738 0.173 0.069
0.738 0.327 0.569
0.896 0.678 0.065
0.896 0.822 0.565
0.000 0.000 0.000
0.000 0.500 0.500
0.185 0.115 0.737
0.185 0.385 0.237
0.815 0.615 0.763
0.815 0.885 0.263
```

Output
offset from the most stable computed form: 0.000 eV per atom
Fermi-level density of states: 16.13 states/eV/cell


A plane-wave DFT calculation with PBE was carried out for an optimized crystal structure of PmHRu.

```
PmHRu
1.0
3.379 0.000 0.000
-1.689 2.926 0.000
0.000 0.000 4.564
Pm H Ru
1 1 1
direct
0.000 0.000 0.000
0.333 0.667 0.502
0.667 0.333 0.500
```

Output
offset from the most stable computed form: 0.106 eV per atom
Fermi-level density of states: 1.71 states/eV/cell


A plane-wave DFT calculation with PBE was carried out for an optimized crystal structure of PmH6Ru.

```
PmH6Ru
1.0
2.359 1.362 3.436
-2.359 1.362 3.436
0.000 -2.724 3.436
Pm H Ru
1 6 1
direct
0.000 0.000 0.000
0.056 0.615 0.615
0.385 0.385 0.944
0.385 0.944 0.385
0.615 0.056 0.615
0.615 0.615 0.056
0.944 0.385 0.385
0.500 0.500 0.500
```

Output
offset from the most stable computed form: 0.000 eV per atom
Fermi-level density of states: 2.06 states/eV/cell


A plane-wave DFT calculation with PBE was carried out for an optimized crystal structure of Pm2HRu.

```
Pm2HRu
1.0
3.325 0.000 0.000
0.000 3.325 0.000
0.000 0.000 7.172
Pm H Ru
2 1 1
direct
0.000 0.000 0.247
0.000 0.000 0.753
0.500 0.500 0.500
0.500 0.500 0.000
```

Output
offset from the most stable computed form: 0.098 eV per atom
Fermi-level density of states: 2.95 states/eV/cell


A plane-wave DFT calculation with PBE was carried out for an optimized crystal structure of PmHRu.

```
PmHRu
1.0
-1.795 1.795 4.076
1.795 -1.795 4.076
1.795 1.795 -4.076
Pm H Ru
1 1 1
direct
0.000 0.000 0.000
0.465 0.465 0.000
0.670 0.670 0.000
```

Output
offset from the most stable computed form: 0.276 eV per atom
Fermi-level density of states: 1.55 states/eV/cell


A plane-wave DFT calculation with PBE was carried out for an optimized crystal structure of Pm2HRu.

```
Pm2HRu
1.0
1.893 1.093 6.640
-1.893 1.093 6.640
0.000 -2.186 6.640
Pm H Ru
2 1 1
direct
0.243 0.243 0.243
0.757 0.757 0.757
0.500 0.500 0.500
0.000 0.000 0.000
```

Output
offset from the most stable computed form: 0.090 eV per atom
Fermi-level density of states: 3.18 states/eV/cell


A plane-wave DFT calculation with PBE was carried out for an optimized crystal structure of PmH2Ru.

```
PmH2Ru
1.0
1.698 0.981 4.697
-1.698 0.981 4.697
0.000 -1.961 4.697
Pm H Ru
1 2 1
direct
0.000 0.000 0.000
0.208 0.208 0.208
0.792 0.792 0.792
0.500 0.500 0.500
```

Output
Fermi-level density of states: 1.74 states/eV/cell
total DFT energy (no corrections): -5.244 eV/atom


A plane-wave DFT calculation with PBE was carried out for an optimized crystal structure of PmH6Ru2.

```
PmH6Ru2
1.0
4.089 -1.844 0.000
4.089 1.844 0.000
-2.822 0.000 5.679
Pm H Ru
1 6 2
direct
0.000 0.000 0.000
0.012 0.012 0.650
0.289 0.289 0.917
0.297 0.297 0.367
0.703 0.703 0.633
0.711 0.711 0.083
0.988 0.988 0.350
0.207 0.207 0.623
0.793 0.793 0.377
```

Output
offset from the most stable computed form: 0.046 eV per atom
Fermi-level density of states: 3.18 states/eV/cell


A plane-wave DFT calculation with PBE was carried out for an optimized crystal structure of Pm3H6Ru.

```
Pm3H6Ru
1.0
4.593 2.652 3.575
-4.593 2.652 3.575
0.000 -5.303 3.575
Pm H Ru
6 12 2
direct
0.035 0.555 0.752
0.248 0.965 0.445
0.445 0.248 0.965
0.555 0.752 0.035
0.752 0.035 0.555
0.965 0.445 0.248
0.045 0.917 0.740
0.083 0.260 0.955
0.242 0.592 0.452
0.260 0.955 0.083
0.408 0.548 0.758
0.452 0.242 0.592
0.548 0.758 0.408
0.592 0.452 0.242
0.740 0.045 0.917
0.758 0.408 0.548
0.917 0.740 0.045
0.955 0.083 0.260
0.000 0.000 0.000
0.500 0.500 0.500
```

Output
Fermi-level density of states: 9.65 states/eV/cell
total DFT energy (no corrections): -4.714 eV/atom


A plane-wave DFT calculation with PBE was carried out for an optimized crystal structure of Pm12HRu6.

```
Pm12HRu6
1.0
6.227 3.595 3.858
-6.227 3.595 3.858
0.000 -7.190 3.858
Pm H Ru
12 1 6
direct
0.049 0.684 0.920
0.080 0.951 0.316
0.177 0.416 0.572
0.316 0.080 0.951
0.416 0.572 0.177
0.428 0.823 0.584
0.572 0.177 0.416
0.584 0.428 0.823
0.684 0.920 0.049
0.823 0.584 0.428
0.920 0.049 0.684
0.951 0.316 0.080
0.000 0.000 0.000
0.127 0.615 0.293
0.293 0.127 0.615
0.385 0.707 0.873
0.615 0.293 0.127
0.707 0.873 0.385
0.873 0.385 0.707
```

Output
Fermi-level density of states: 11.27 states/eV/cell
total DFT energy (no corrections): -6.244 eV/atom


Which of these has the lowest Fermi-level density of states?
number 7


Fermi-level density of states of number 11 (Pm3H6Ru)?
9.65 states/eV/cell